A geometry-optimized TaGeI2N structure, computed with PBE-GGA.

It has space group P4/mmm (No. 123), with a = 5.690 Å, b = 5.690 Å, c = 3.919 Å, α = 90.00°, β = 90.00° and γ = 90.00°. The inequivalent atoms are Ta at (0.000, 0.000, 0.000), Ge at (0.500, 0.500, 0.500), I at (0.000, 0.500, 0.000) and N at (0.000, 0.000, 0.500).

For the energy above the most stable polymorph in this dataset, the calculation gives 0 meV per atom. For the raw formation energy, the calculation gives 0.3356 eV/atom. Its calculated density is 6.82 g/cm3.



A geometry-optimized TaGeIN2 structure, computed with PBE-GGA.

It has space group P4/mmm (No. 123), with a = 4.105 Å, b = 4.105 Å, c = 5.741 Å, α = 90.00°, β = 90.00° and γ = 90.00°. The inequivalent atoms are Ta at (0.000, 0.000, 0.000), Ge at (0.500, 0.500, 0.500), I at (0.000, 0.000, 0.500) and N at (0.000, 0.500, 0.000).

For the energy above the most stable polymorph in this dataset, the calculation gives 0 meV per atom. For the raw formation energy, the calculation gives 0.5489 eV/atom. Its calculated density is 7.01 g/cm3.



A geometry-optimized TcGeI2N structure, computed with PBE-GGA.

It has space group P4/mmm (No. 123), with a = 5.908 Å, b = 5.908 Å, c = 3.562 Å, α = 90.00°, β = 90.00° and γ = 90.00°. The inequivalent atoms are Tc at (0.000, 0.000, 0.000), Ge at (0.500, 0.500, 0.500), I at (0.000, 0.500, 0.500) and N at (0.500, 0.500, 0.000).

For the energy above the most stable polymorph in this dataset, the calculation gives 679 meV per atom. For the raw formation energy, the calculation gives 1.1586 eV/atom. Its calculated density is 5.86 g/cm3.



A geometry-optimized TcGeI2N structure, computed with PBE-GGA.

It has space group P4/mmm (No. 123), with a = 5.589 Å, b = 5.589 Å, c = 3.773 Å, α = 90.00°, β = 90.00° and γ = 90.00°. The inequivalent atoms are Tc at (0.000, 0.000, 0.000), Ge at (0.500, 0.500, 0.500), I at (0.000, 0.500, 0.000) and N at (0.000, 0.000, 0.500).

For the energy above the most stable polymorph in this dataset, the calculation gives 0 meV per atom. For the raw formation energy, the calculation gives 0.4791 eV/atom. Its calculated density is 6.18 g/cm3.



A geometry-optimized GeTeIN2 structure, computed with PBE-GGA.

It has space group P4/mmm (No. 123), with a = 4.025 Å, b = 4.025 Å, c = 7.545 Å, α = 90.00°, β = 90.00° and γ = 90.00°. The inequivalent atoms are Ge at (0.000, 0.000, 0.000), Te at (0.500, 0.500, 0.500), I at (0.000, 0.000, 0.500) and N at (0.000, 0.500, 0.000).

For the energy above the most stable polymorph in this dataset, the calculation gives 110 meV per atom. For the raw formation energy, the calculation gives 1.5032 eV/atom. Its calculated density is 4.82 g/cm3.



A geometry-optimized GeTeIN2 structure, computed with PBE-GGA.

It has space group P4/mmm (No. 123), with a = 4.175 Å, b = 4.175 Å, c = 5.982 Å, α = 90.00°, β = 90.00° and γ = 90.00°. The inequivalent atoms are Ge at (0.000, 0.000, 0.000), Te at (0.000, 0.000, 0.500), I at (0.500, 0.500, 0.500) and N at (0.000, 0.500, 0.000).

For the energy above the most stable polymorph in this dataset, the calculation gives 0 meV per atom. For the raw formation energy, the calculation gives 1.3935 eV/atom. Its calculated density is 5.66 g/cm3.



A geometry-optimized GeTeIN2 structure, computed with PBE-GGA.

It has space group P4/mmm (No. 123), with a = 4.059 Å, b = 4.059 Å, c = 7.648 Å, α = 90.00°, β = 90.00° and γ = 90.00°. The inequivalent atoms are Ge at (0.000, 0.000, 0.000), Te at (0.500, 0.500, 0.000), I at (0.500, 0.500, 0.500) and N at (0.000, 0.500, 0.500).

For the energy above the most stable polymorph in this dataset, the calculation gives 369 meV per atom. For the raw formation energy, the calculation gives 1.7630 eV/atom. Its calculated density is 4.68 g/cm3.



A geometry-optimized GeTeIN2 structure, computed with PBE-GGA.

It has space group P4/mmm (No. 123), with a = 4.113 Å, b = 4.113 Å, c = 7.754 Å, α = 90.00°, β = 90.00° and γ = 90.00°. The inequivalent atoms are Ge at (0.000, 0.000, 0.000), Te at (0.500, 0.500, 0.500), I at (0.500, 0.500, 0.000) and N at (0.000, 0.500, 0.500).

For the energy above the most stable polymorph in this dataset, the calculation gives 86 meV per atom. For the raw formation energy, the calculation gives 1.4791 eV/atom. Its calculated density is 4.50 g/cm3.